No. 1
Here is crystalline YBr2Cl at its relaxed geometry from Alexandria via LeMat-Bulk. Energies are from PBE-GGA.

Summary:
Excess energy over the best structure of this formula in the dataset, eV per atom: 0.033
Formation energy from raw total energies, meV/atom: -1958.4
Calculated volume, Å³/f.u.: 157

Structure (CIF):
```
data_YBr2Cl
_space_group_name_H-M_alt 'C 1 m 1'
_space_group_IT_number 8
_space_group_name_Hall 'C -2y'
_cell_length_a 13.3471
_cell_length_b 3.7108
_cell_length_c 7.2640
_cell_angle_alpha 90.00
_cell_angle_beta 119.52
_cell_angle_gamma 90.00
loop_
_atom_site_label
_atom_site_type_symbol
_atom_site_fract_x
_atom_site_fract_y
_atom_site_fract_z
_atom_site_occupancy
Y1 Y 0.0000 0.0000 0.0000 1
Br1 Br 0.0044 0.5000 0.7101 1
Br2 Br 0.1588 0.5000 0.2924 1
Cl1 Cl 0.3545 0.0000 0.9985 1
```


No. 2
Here is crystalline YBrCl2 at its relaxed geometry from Alexandria via LeMat-Bulk. Energies are from PBE-GGA.

Summary:
Excess energy over the best structure of this formula in the dataset, eV per atom: 0.040
Formation energy from raw total energies, meV/atom: -2087.8
Calculated volume, Å³/f.u.: 148

Structure (CIF):
```
data_YBrCl2
_space_group_name_H-M_alt 'I m m 2'
_space_group_IT_number 44
_space_group_name_Hall 'I 2 -2'
_cell_length_a 3.6608
_cell_length_b 11.3526
_cell_length_c 7.1399
_cell_angle_alpha 90.00
_cell_angle_beta 90.00
_cell_angle_gamma 90.00
loop_
_atom_site_label
_atom_site_type_symbol
_atom_site_fract_x
_atom_site_fract_y
_atom_site_fract_z
_atom_site_occupancy
Y1 Y 0.0000 0.0000 0.0000 1
Br1 Br 0.0000 0.5000 0.8013 1
Cl1 Cl 0.0000 0.3500 0.3651 1
```


No. 3
Here is crystalline YBrCl2 at its relaxed geometry from Alexandria via LeMat-Bulk. Energies are from PBE-GGA.

Summary:
Excess energy over the best structure of this formula in the dataset, eV per atom: 0.631
Formation energy from raw total energies, meV/atom: -1496.3
Calculated volume, Å³/f.u.: 89

Structure (CIF):
```
data_YBrCl2
_space_group_name_H-M_alt 'I 4/m m m'
_space_group_IT_number 139
_space_group_name_Hall '-I 4 2'
_cell_length_a 4.6136
_cell_length_b 4.6136
_cell_length_c 8.3767
_cell_angle_alpha 90.00
_cell_angle_beta 90.00
_cell_angle_gamma 90.00
loop_
_atom_site_label
_atom_site_type_symbol
_atom_site_fract_x
_atom_site_fract_y
_atom_site_fract_z
_atom_site_occupancy
Y1 Y 0.0000 0.0000 0.0000 1
Br1 Br 0.0000 0.0000 0.5000 1
Cl1 Cl 0.0000 0.5000 0.2500 1
```


No. 4
Here is crystalline ZnBr2Cl at its relaxed geometry from Alexandria via LeMat-Bulk. Energies are from PBE-GGA.

Summary:
Excess energy over the best structure of this formula in the dataset, eV per atom: 0.598
Formation energy from raw total energies, meV/atom: 38.7
Calculated volume, Å³/f.u.: 106

Structure (CIF):
```
data_ZnBr2Cl
_space_group_name_H-M_alt 'P 4/m m m'
_space_group_IT_number 123
_space_group_name_Hall '-P 4 2'
_cell_length_a 3.3001
_cell_length_b 3.3001
_cell_length_c 9.7643
_cell_angle_alpha 90.00
_cell_angle_beta 90.00
_cell_angle_gamma 90.00
loop_
_atom_site_label
_atom_site_type_symbol
_atom_site_fract_x
_atom_site_fract_y
_atom_site_fract_z
_atom_site_occupancy
Zn1 Zn 0.0000 0.0000 0.0000 1
Br1 Br 0.5000 0.5000 0.1691 1
Cl1 Cl 0.0000 0.0000 0.5000 1
```


No. 5
Here is crystalline ZnBr2Cl at its relaxed geometry from Alexandria via LeMat-Bulk. Energies are from PBE-GGA.

Summary:
Excess energy over the best structure of this formula in the dataset, eV per atom: 0.086
Formation energy from raw total energies, meV/atom: -472.8
Calculated volume, Å³/f.u.: 123

Structure (CIF):
```
data_ZnBr2Cl
_space_group_name_H-M_alt 'P 1 2/m 1'
_space_group_IT_number 10
_space_group_name_Hall '-P 2y'
_cell_length_a 4.7469
_cell_length_b 4.3993
_cell_length_c 5.9132
_cell_angle_alpha 90.00
_cell_angle_beta 91.91
_cell_angle_gamma 90.00
loop_
_atom_site_label
_atom_site_type_symbol
_atom_site_fract_x
_atom_site_fract_y
_atom_site_fract_z
_atom_site_occupancy
Zn1 Zn 0.0000 0.0000 0.0000 1
Br1 Br 0.0133 0.5000 0.2639 1
Cl1 Cl 0.5000 0.0000 0.0000 1
```


No. 6
Here is crystalline ZnBrCl2 at its relaxed geometry from Alexandria via LeMat-Bulk. Energies are from PBE-GGA.

Summary:
Excess energy over the best structure of this formula in the dataset, eV per atom: 0.086
Formation energy from raw total energies, meV/atom: -528.4
Calculated volume, Å³/f.u.: 126

Structure (CIF):
```
data_ZnBrCl2
_space_group_name_H-M_alt 'P 1 2/m 1'
_space_group_IT_number 10
_space_group_name_Hall '-P 2y'
_cell_length_a 3.7297
_cell_length_b 3.2079
_cell_length_c 10.6642
_cell_angle_alpha 90.00
_cell_angle_beta 97.67
_cell_angle_gamma 90.00
loop_
_atom_site_label
_atom_site_type_symbol
_atom_site_fract_x
_atom_site_fract_y
_atom_site_fract_z
_atom_site_occupancy
Zn1 Zn 0.0000 0.0000 0.0000 1
Br1 Br 0.5000 0.0000 0.5000 1
Cl1 Cl 0.1585 0.5000 0.8594 1
```